# 1
A plane-wave DFT calculation with PBEsol was carried out for a relaxed Cr3CoH crystal.

calculated total energy = -0.6070 Ry/atom
DOS at the Fermi energy = 5.4 states/eV/f.u.

Geometry as POSCAR:
```
Cr3CoH
1.0
3.5703 0.0000 0.0000
0.0000 3.5703 0.0000
0.0000 0.0000 3.5703
Co Cr H
1 3 1
Direct
0.5000 0.5000 0.5000
0.0000 0.5000 0.0000
0.0000 0.0000 0.5000
0.5000 0.0000 0.0000
0.0000 0.0000 0.0000
```

***

# 2
A plane-wave DFT calculation with PBEsol was carried out for a relaxed HfCrCo2 crystal.

energy of formation = -0.08 eV per atom
DOS at the Fermi energy = 3.1 states/eV/f.u.

Geometry as POSCAR:
```
HfCrCo2
1.0
-1.1621 1.4668 3.7687
-2.3220 -2.3946 2.5650
1.7037 -1.6022 3.4979
Co Hf Cr
2 1 1
Direct
0.7500 0.7500 0.7500
0.2500 0.2500 0.2500
0.5000 0.5000 0.5000
0.0000 0.0000 0.0000
```

***

# 3
A plane-wave DFT calculation with PBEsol was carried out for a relaxed HfCr3Co crystal.

energy of formation = 2.38 eV per atom
DOS at the Fermi energy = 9.4 states/eV/f.u.

Geometry as POSCAR:
```
HfCr3Co
1.0
4.3724 0.0000 0.0000
0.0000 4.3724 0.0000
0.0000 0.0000 4.3724
Cr Hf Co
3 1 1
Direct
0.0000 0.5000 0.0000
0.5000 0.0000 0.0000
0.0000 0.0000 0.5000
0.0000 0.0000 0.0000
0.5000 0.5000 0.5000
```

***

# 4
A plane-wave DFT calculation with PBEsol was carried out for a relaxed HfCrCoSn2 crystal.

energy of formation = 1.22 eV per atom
DOS at the Fermi energy = 4.3 states/eV/f.u.

Geometry as POSCAR:
```
HfCrCoSn2
1.0
-2.2500 0.6146 3.7198
4.4350 -1.1339 2.8700
1.3624 5.2282 -0.0397
Sn Cr Hf Co
2 1 1 1
Direct
0.0000 0.0000 0.5000
0.0000 0.5000 0.0000
0.5000 0.5000 0.5000
0.0000 0.0000 0.0000
0.5000 0.0000 0.0000
```